P:
The following is a GGA-PBE calculation of CsSb2IF after structural relaxation, from Alexandria via LeMat-Bulk.

Structure (POSCAR):
```
CsSb2IF
1.0
-5.2538 2.0149 -3.0006
-3.1359 0.0912 5.5519
1.8504 6.2291 0.9429
F Sb I Cs
1 2 1 1
Direct
0.5000 0.5000 0.5000 F
0.5000 0.0000 0.0000 Sb
0.0000 0.5000 0.0000 Sb
0.0000 0.0000 0.5000 I
0.0000 0.0000 0.0000 Cs
```

crystal system = tetragonal
theoretical density = 3.2 g/cm³
M_tot = 2.4 μB per formula unit

Q:
The following is a GGA-PBE calculation of CsSb2IF after structural relaxation, from Alexandria via LeMat-Bulk.

Structure (POSCAR):
```
CsSb2IF
1.0
4.9367 0.0000 0.0000
0.0000 4.9367 0.0000
0.0000 0.0000 7.4297
I Cs Sb F
1 1 2 1
Direct
0.0000 0.0000 0.5000 I
0.5000 0.5000 0.5000 Cs
0.0000 0.5000 0.0000 Sb
0.5000 0.0000 0.0000 Sb
0.0000 0.0000 0.0000 F
```

crystal system = tetragonal
theoretical density = 4.8 g/cm³
M_tot = 0.0 μB per formula unit

The data favor Q; the next most stable structure lies 132.6 kJ/mol of atoms above it.

P:
The following is a GGA-PBE calculation of CsTe2IF after structural relaxation, from Alexandria via LeMat-Bulk.

Structure (POSCAR):
```
CsTe2IF
1.0
4.9609 0.0000 0.0000
0.0000 4.9609 0.0000
0.0000 0.0000 7.4447
F Te Cs I
1 2 1 1
Direct
0.0000 0.0000 0.0000 F
0.5000 0.0000 0.0000 Te
0.0000 0.5000 0.0000 Te
0.5000 0.5000 0.5000 Cs
0.0000 0.0000 0.5000 I
```

crystal system = tetragonal
theoretical density = 4.8 g/cm³
M_tot = 0.0 μB per formula unit

Q:
The following is a GGA-PBE calculation of CsTe2IF after structural relaxation, from Alexandria via LeMat-Bulk.

Structure (POSCAR):
```
CsTe2IF
1.0
-0.2668 3.4445 5.3063
-5.3567 2.7026 -2.0236
-3.5456 -4.8189 2.9498
Te Cs F I
2 1 1 1
Direct
0.5000 0.0000 0.0000 Te
0.0000 0.5000 0.0000 Te
0.0000 0.0000 0.0000 Cs
0.5000 0.5000 0.5000 F
0.0000 0.0000 0.5000 I
```

crystal system = tetragonal
theoretical density = 3.3 g/cm³
M_tot = 3.8 μB per formula unit

The data favor P; the next most stable structure lies 116.2 kJ/mol of atoms above it.

P:
The following is a GGA-PBE calculation of Cs2In2F after structural relaxation, from Alexandria via LeMat-Bulk.

Structure (POSCAR):
```
Cs2In2F
1.0
-1.7345 -3.1084 2.2242
-1.9991 -1.3440 -3.4373
6.4827 -8.5819 -2.9775
In F Cs
2 1 2
Direct
0.2500 0.7500 0.5000 In
0.7500 0.2500 0.5000 In
0.0000 0.0000 0.0000 F
0.5848 0.5848 0.8304 Cs
0.4152 0.4152 0.1696 Cs
```

crystal system = tetragonal
theoretical density = 4.5 g/cm³
M_tot = 0.0 μB per formula unit

Q:
The following is a GGA-PBE calculation of Cs2In2F after structural relaxation, from Alexandria via LeMat-Bulk.

Structure (POSCAR):
```
Cs2In2F
1.0
-5.1066 3.9061 4.2262
-1.9016 -6.4781 3.6897
5.2155 1.3485 5.0556
In Cs F
4 4 2
Direct
0.1351 0.6351 0.5000 In
0.8649 0.3649 0.5000 In
0.3649 0.1351 0.5000 In
0.6351 0.8649 0.5000 In
0.6900 0.1900 0.0000 Cs
0.3100 0.8100 0.0000 Cs
0.8100 0.6900 0.0000 Cs
0.1900 0.3100 0.0000 Cs
0.0000 0.0000 0.0000 F
0.5000 0.5000 0.0000 F
```

crystal system = tetragonal
theoretical density = 3.9 g/cm³
M_tot = 0.5 μB per formula unit

The data favor P; the next most stable structure lies 17.5 kJ/mol of atoms above it.

P:
The following is a GGA-PBE calculation of Cs3InF4 after structural relaxation, from Alexandria via LeMat-Bulk.

Structure (POSCAR):
```
Cs3InF4
1.0
-3.8381 -3.8418 5.6652
4.7239 -12.2779 -5.1257
7.0791 0.5623 5.1772
In F Cs
4 16 12
Direct
0.3324 0.9878 0.7500 In
0.8324 0.5122 0.7500 In
0.6676 0.0122 0.2500 In
0.1676 0.4878 0.2500 In
0.6742 0.5880 0.9229 F
0.6742 0.5880 0.5771 F
0.8150 0.2163 0.7500 F
0.4603 0.1254 0.2500 F
0.8258 0.0880 0.4229 F
0.9603 0.3746 0.2500 F
0.3150 0.2837 0.7500 F
0.3258 0.4120 0.0771 F
0.5397 0.8746 0.7500 F
0.3258 0.4120 0.4229 F
0.8258 0.0880 0.0771 F
0.1742 0.9120 0.9229 F
0.0397 0.6254 0.7500 F
0.1850 0.7837 0.2500 F
0.1742 0.9120 0.5771 F
0.6850 0.7163 0.2500 F
0.0615 0.2553 0.9874 Cs
0.6564 0.5111 0.2500 Cs
0.1564 0.9889 0.2500 Cs
0.5615 0.2447 0.5126 Cs
0.8436 0.0111 0.7500 Cs
0.0615 0.2553 0.5126 Cs
0.9385 0.7447 0.0126 Cs
0.4385 0.7553 0.0126 Cs
0.3436 0.4889 0.7500 Cs
0.4385 0.7553 0.4874 Cs
0.5615 0.2447 0.9874 Cs
0.9385 0.7447 0.4874 Cs
```

crystal system = orthorhombic
theoretical density = 4.0 g/cm³
M_tot = 0.0 μB per formula unit

Q:
The following is a GGA-PBE calculation of Cs3InF4 after structural relaxation, from Alexandria via LeMat-Bulk.

Structure (POSCAR):
```
Cs3InF4
1.0
-1.8791 4.5525 -3.6687
-4.8476 0.9337 3.6416
6.1528 7.5749 6.2482
Cs In F
6 2 8
Direct
0.0547 0.2366 0.5000 Cs
0.5547 0.7634 0.0000 Cs
0.0433 0.7466 0.7501 Cs
0.5433 0.2534 0.7499 Cs
0.0433 0.7466 0.2499 Cs
0.5433 0.2534 0.2501 Cs
0.0570 0.2619 0.0000 In
0.5570 0.7381 0.5000 In
0.5366 0.7576 0.2579 F
0.0366 0.2424 0.7579 F
0.6915 0.2595 0.0000 F
0.0523 0.8964 0.0000 F
0.0366 0.2424 0.2421 F
0.5366 0.7576 0.7421 F
0.5523 0.1036 0.5000 F
0.1915 0.7405 0.5000 F
```

crystal system = orthorhombic
theoretical density = 4.5 g/cm³
M_tot = 0.0 μB per formula unit

The data favor Q; the next most stable structure lies 1.0 kJ/mol of atoms above it.

P:
The following is a GGA-PBE calculation of Cs2InF4 after structural relaxation, from Alexandria via LeMat-Bulk.

Structure (POSCAR):
```
Cs2InF4
1.0
4.6467 0.0000 0.0000
0.0000 4.6467 0.0000
2.3234 2.3234 7.5828
F Cs In
4 2 1
Direct
0.1538 0.1538 0.6924 F
0.5000 0.0000 0.0000 F
0.0000 0.5000 0.0000 F
0.8462 0.8462 0.3076 F
0.6489 0.6489 0.7022 Cs
0.3511 0.3511 0.2978 Cs
0.0000 0.0000 0.0000 In
```

crystal system = tetragonal
theoretical density = 4.6 g/cm³
M_tot = 0.0 μB per formula unit

Q:
The following is a GGA-PBE calculation of Cs2InF4 after structural relaxation, from Alexandria via LeMat-Bulk.

Structure (POSCAR):
```
Cs2InF4
1.0
-5.9733 -2.4536 -4.7544
0.0029 -5.2660 2.7140
-0.8997 4.3463 8.4343
F Cs In
8 4 2
Direct
0.1687 0.7500 0.8566 F
0.4055 0.5080 0.2032 F
0.1669 0.7500 0.3117 F
0.4055 0.9920 0.2032 F
0.8331 0.2500 0.6883 F
0.5945 0.4920 0.7968 F
0.5945 0.0080 0.7968 F
0.8313 0.2500 0.1434 F
0.2999 0.2500 0.4260 Cs
0.3010 0.2500 0.8752 Cs
0.7001 0.7500 0.5740 Cs
0.6990 0.7500 0.1248 Cs
0.8336 0.2500 0.9166 In
0.1664 0.7500 0.0834 In
```

crystal system = monoclinic
theoretical density = 4.2 g/cm³
M_tot = 0.0 μB per formula unit

The data favor P; the next most stable structure lies 2.0 kJ/mol of atoms above it.

P:
The following is a GGA-PBE calculation of CsInNF2 after structural relaxation, from Alexandria via LeMat-Bulk.

Structure (POSCAR):
```
CsInNF2
1.0
-3.6554 1.4579 -3.7066
-3.8823 -2.4282 2.8736
-0.8210 4.2486 2.4808
In N F Cs
1 1 2 1
Direct
0.5000 0.5000 0.5000 In
0.0000 0.0000 0.5000 N
0.5000 0.0000 0.0000 F
0.0000 0.5000 0.0000 F
0.0000 0.0000 0.0000 Cs
```

crystal system = tetragonal
theoretical density = 3.4 g/cm³
M_tot = 2.0 μB per formula unit

Q:
The following is a GGA-PBE calculation of CsInNF2 after structural relaxation, from Alexandria via LeMat-Bulk.

Structure (POSCAR):
```
CsInNF2
1.0
4.6933 0.0000 0.0000
0.0000 4.6933 0.0000
0.0000 0.0000 4.1453
Cs N F In
1 1 2 1
Direct
0.5000 0.5000 0.5000 Cs
0.0000 0.0000 0.5000 N
0.5000 0.0000 0.0000 F
0.0000 0.5000 0.0000 F
0.0000 0.0000 0.0000 In
```

crystal system = tetragonal
theoretical density = 5.5 g/cm³
M_tot = 1.0 μB per formula unit

The data favor Q; the next most stable structure lies 108.9 kJ/mol of atoms above it.

P:
The following is a GGA-PBE calculation of Cs2TiInF6 after structural relaxation, from Alexandria via LeMat-Bulk.

Structure (POSCAR):
```
Cs2TiInF6
1.0
6.8835 0.0000 0.0000
3.4417 5.9613 0.0000
3.4417 1.9871 10.5444
Ti F In Cs
2 12 2 4
Direct
0.5000 0.5000 0.5000 Ti
0.0000 0.0000 0.0000 Ti
0.8302 0.8302 0.1134 F
0.1778 0.6097 0.6027 F
0.6097 0.1778 0.6027 F
0.7738 0.1698 0.8866 F
0.1698 0.1698 0.8866 F
0.3903 0.8222 0.3973 F
0.2262 0.8302 0.1134 F
0.3903 0.3903 0.3973 F
0.8302 0.2262 0.1134 F
0.1698 0.7738 0.8866 F
0.6097 0.6097 0.6027 F
0.8222 0.3903 0.3973 F
0.6019 0.6019 0.1944 In
0.3981 0.3981 0.8056 In
0.8705 0.8705 0.3885 Cs
0.7285 0.7285 0.8145 Cs
0.2715 0.2715 0.1855 Cs
0.1295 0.1295 0.6115 Cs
```

crystal system = trigonal
theoretical density = 4.2 g/cm³
M_tot = 1.0 μB per formula unit

Q:
The following is a GGA-PBE calculation of Cs2TiInF6 after structural relaxation, from Alexandria via LeMat-Bulk.

Structure (POSCAR):
```
Cs2TiInF6
1.0
-0.5358 -4.4494 -4.8695
-4.8455 -3.0494 3.3195
-5.8663 -1.0289 -2.9114
In Cs F Ti
1 2 6 1
Direct
0.0000 0.0000 0.0000 In
0.2500 0.7500 0.5000 Cs
0.7500 0.2500 0.5000 Cs
0.7125 0.2875 0.0000 F
0.2875 0.2875 0.0000 F
0.7125 0.7125 0.0000 F
0.2836 0.2836 0.4328 F
0.2875 0.7125 0.0000 F
0.7164 0.7164 0.5672 F
0.5000 0.5000 0.0000 Ti
```

crystal system = tetragonal
theoretical density = 4.4 g/cm³
M_tot = 1.0 μB per formula unit

The data favor Q; the next most stable structure lies 2.2 kJ/mol of atoms above it.

P:
The following is a GGA-PBE calculation of Cs2YInF6 after structural relaxation, from Alexandria via LeMat-Bulk.

Structure (POSCAR):
```
Cs2YInF6
1.0
-4.1823 -5.2348 1.5744
-2.7374 -3.8446 -5.0099
2.1150 -6.4869 -0.9055
In F Cs Y
1 6 2 1
Direct
0.5000 0.5000 0.5000 In
0.7746 0.2254 0.7746 F
0.2254 0.2254 0.7746 F
0.2254 0.7746 0.2254 F
0.7746 0.2254 0.2254 F
0.7746 0.7746 0.2254 F
0.2254 0.7746 0.7746 F
0.2500 0.2500 0.2500 Cs
0.7500 0.7500 0.7500 Cs
0.0000 0.0000 0.0000 Y
```

crystal system = cubic
theoretical density = 4.2 g/cm³
M_tot = 0.0 μB per formula unit

Q:
The following is a GGA-PBE calculation of Cs2YInF6 after structural relaxation, from Alexandria via LeMat-Bulk.

Structure (POSCAR):
```
Cs2YInF6
1.0
6.8964 0.0000 -0.0440
0.0000 6.8525 0.0000
-0.0021 0.0000 9.6968
F Y Cs In
12 2 4 2
Direct
0.5647 0.0161 0.2782 F
0.2543 0.2004 0.4674 F
0.2457 0.7004 0.0326 F
0.4353 0.9839 0.7218 F
0.0647 0.4839 0.7782 F
0.8048 0.7493 0.9625 F
0.9353 0.5161 0.2218 F
0.7543 0.2996 0.9674 F
0.3048 0.7507 0.4625 F
0.7457 0.7996 0.5326 F
0.6952 0.2493 0.5375 F
0.1952 0.2507 0.0375 F
0.5000 0.0000 0.5000 Y
0.0000 0.5000 0.0000 Y
0.4954 0.4800 0.2503 Cs
0.5046 0.5200 0.7497 Cs
0.9954 0.0200 0.7503 Cs
0.0046 0.9800 0.2497 Cs
0.5000 0.0000 0.0000 In
0.0000 0.5000 0.5000 In
```

crystal system = monoclinic
theoretical density = 4.2 g/cm³
M_tot = 0.0 μB per formula unit

The data favor Q; the next most stable structure lies 0.6 kJ/mol of atoms above it.

P:
The following is a GGA-PBE calculation of Cs2IrF7 after structural relaxation, from Alexandria via LeMat-Bulk.

Structure (POSCAR):
```
Cs2IrF7
1.0
-3.8456 1.7645 5.1943
-4.8923 -4.0755 2.0829
0.5837 -3.2194 5.8462
F Ir Cs
7 1 2
Direct
0.5000 0.5000 0.5000 F
0.2049 0.7951 0.2049 F
0.2049 0.7951 0.7951 F
0.7951 0.2049 0.7951 F
0.7951 0.2049 0.2049 F
0.2049 0.2049 0.7951 F
0.7951 0.7951 0.2049 F
0.0000 0.0000 0.0000 Ir
0.7500 0.7500 0.7500 Cs
0.2500 0.2500 0.2500 Cs
```

crystal system = cubic
theoretical density = 4.6 g/cm³
M_tot = 2.0 μB per formula unit

Q:
The following is a GGA-PBE calculation of Cs2IrF7 after structural relaxation, from Alexandria via LeMat-Bulk.

Structure (POSCAR):
```
Cs2IrF7
1.0
5.7892 0.0000 2.8233
2.4438 7.9440 2.3362
-0.4451 -0.6837 8.2599
F Cs Ir
14 4 2
Direct
0.0452 0.6720 0.4824 F
0.3348 0.7500 0.2500 F
0.7147 0.7306 0.4014 F
0.1243 0.0131 0.6730 F
0.8757 0.9869 0.3270 F
0.1896 0.5131 0.1730 F
0.1533 0.2306 0.9014 F
0.2853 0.2694 0.5986 F
0.1995 0.8280 0.0176 F
0.6652 0.2500 0.7500 F
0.8467 0.7694 0.0986 F
0.8104 0.4869 0.8270 F
0.8005 0.1720 0.9824 F
0.9548 0.3280 0.5176 F
0.3756 0.0757 0.2646 Cs
0.2841 0.5757 0.7646 Cs
0.7159 0.4243 0.2354 Cs
0.6244 0.9243 0.7354 Cs
0.0294 0.7500 0.2500 Ir
0.9706 0.2500 0.7500 Ir
```

crystal system = monoclinic
theoretical density = 5.0 g/cm³
M_tot = 0.1 μB per formula unit

The data favor Q; the next most stable structure lies 8.3 kJ/mol of atoms above it.

P:
The following is a GGA-PBE calculation of CsIrF2 after structural relaxation, from Alexandria via LeMat-Bulk.

Structure (POSCAR):
```
CsIrF2
1.0
2.2916 0.0000 5.6341
-1.1458 1.9846 5.6341
-1.1458 -1.9846 5.6341
Cs Ir F
1 1 2
Direct
0.0000 0.0000 0.0000 Cs
0.5000 0.5000 0.5000 Ir
0.2125 0.2125 0.2125 F
0.7875 0.7875 0.7875 F
```

crystal system = trigonal
theoretical density = 7.8 g/cm³
M_tot = 2.0 μB per formula unit

Q:
The following is a GGA-PBE calculation of CsIrF2 after structural relaxation, from Alexandria via LeMat-Bulk.

Structure (POSCAR):
```
CsIrF2
1.0
0.0000 3.3587 3.3587
3.3587 0.0000 3.3587
3.3587 3.3587 0.0000
F Cs Ir
2 1 1
Direct
0.2500 0.2500 0.2500 F
0.7500 0.7500 0.7500 F
0.0000 0.0000 0.0000 Cs
0.5000 0.5000 0.5000 Ir
```

crystal system = cubic
theoretical density = 8.0 g/cm³
M_tot = 2.1 μB per formula unit

The data favor P; the next most stable structure lies 45.0 kJ/mol of atoms above it.

P:
The following is a GGA-PBE calculation of CsIrNF2 after structural relaxation, from Alexandria via LeMat-Bulk.

Structure (POSCAR):
```
CsIrNF2
1.0
-0.7700 3.6959 3.7632
0.7431 -3.6892 3.7752
4.8005 0.9836 0.0163
Ir F Cs N
1 2 1 1
Direct
0.5000 0.5000 0.5000 Ir
0.0000 0.5000 0.0000 F
0.5000 0.0000 0.0000 F
0.0000 0.0000 0.0000 Cs
0.0000 0.0000 0.5000 N
```

crystal system = tetragonal
theoretical density = 4.5 g/cm³
M_tot = 6.0 μB per formula unit

Q:
The following is a GGA-PBE calculation of CsIrNF2 after structural relaxation, from Alexandria via LeMat-Bulk.

Structure (POSCAR):
```
CsIrNF2
1.0
-4.5822 0.6714 -0.8970
-1.0319 -1.0579 4.4797
0.3452 3.5975 0.9291
Cs Ir F N
1 1 2 1
Direct
0.5000 0.5000 0.5000 Cs
0.0000 0.0000 0.0000 Ir
0.0000 0.5000 0.0000 F
0.5000 0.0000 0.0000 F
0.0000 0.0000 0.5000 N
```

crystal system = tetragonal
theoretical density = 7.5 g/cm³
M_tot = 0.3 μB per formula unit

The data favor Q; the next most stable structure lies 226.4 kJ/mol of atoms above it.